Entry 1:
Density functional theory data (GGA-PBE) for B5C7 after structural relaxation.

It has space group P1 (No. 1), with a = 3.650 Å, b = 4.535 Å, c = 5.390 Å, α = 104.71°, β = 90.97° and γ = 111.35°. The inequivalent atoms are B at (0.000, 0.000, 0.000), B at (0.016, 0.960, 0.492), B at (0.319, 0.650, 0.165), B at (0.622, 0.322, 0.294), B at (0.907, 0.423, 0.615), C at (0.250, 0.995, 0.256), C at (0.269, 0.013, 0.754), C at (0.354, 0.689, 0.678), C at (0.578, 0.653, 0.905), C at (0.600, 0.666, 0.449), C at (0.653, 0.331, 0.842) and C at (0.906, 0.324, 0.068).

The calculation puts the total magnetization at 0.0 μB/f.u. For the excess energy over the best structure of this formula in the dataset, the calculation gives 119 meV/atom. The value obtained for the energy of formation from the pure elements is 0.377 eV per atom.

Entry 2:
Density functional theory data (GGA-PBE) for TaWSe2 after structural relaxation.

It has space group C2/m (No. 12), with a = 5.702 Å, b = 8.605 Å, c = 3.460 Å, α = 90.00°, β = 122.09° and γ = 90.00°. The inequivalent atoms are Ta at (0.000, 0.000, 0.000), W at (0.000, 0.500, 0.000) and Se at (0.250, 0.250, 0.500).

The calculation puts the total magnetization at 0.0 μB/f.u. For the excess energy over the best structure of this formula in the dataset, the calculation gives 838 meV/atom. The calculation puts the uncorrected formation energy at 49 kJ per mole of atoms.

Entry 3:
Density functional theory data (GGA-PBE) for KRuBr2 after structural relaxation.

It has space group Cm (No. 8), with a = 12.873 Å, b = 4.576 Å, c = 4.408 Å, α = 90.00°, β = 92.22° and γ = 90.00°. The inequivalent atoms are K at (0.000, 0.000, 0.000), Ru at (0.283, 0.000, 0.969), Br at (0.193, 0.500, 0.955) and Br at (0.399, 0.000, 0.482).

The calculation puts the total magnetization at 3.0 μB/f.u. For the excess energy over the best structure of this formula in the dataset, the calculation gives 76 meV/atom. The calculation puts the uncorrected formation energy at -21 kJ per mole of atoms.

Entry 4:
Density functional theory data (GGA-PBE) for Ce2CdIr after structural relaxation.

It has space group R-3m (No. 166, hexagonal axes), with a = 4.0374 Å, b = 4.0374 Å, c = 29.5147 Å, α = 90.00°, β = 90.00° and γ = 120.00°. The inequivalent atoms are Ce at (0.0000, 0.0000, 0.1150), Cd at (0.0000, 0.0000, 0.0000) and Ir at (0.0000, 0.0000, 0.5000).

The calculation puts the total magnetization at 1.9 μB/f.u. For the excess energy over the best structure of this formula in the dataset, the calculation gives 304 meV/atom. The value obtained for the energy of formation from the pure elements is -0.158 eV per atom.

Entry 5:
Density functional theory data (GGA-PBE) for RbLa2RuO8 after structural relaxation.

It has space group P-1 (No. 2), with a = 4.306 Å, b = 5.419 Å, c = 7.510 Å, α = 89.99°, β = 73.60° and γ = 89.98°. The inequivalent atoms are Rb at (0.000, 0.000, 0.000), La at (0.372, 0.501, 0.293), Ru at (0.000, 0.000, 0.500), O at (0.170, 0.500, 0.003), O at (0.191, 0.266, 0.606), O at (0.192, 0.738, 0.608) and O at (0.349, 0.999, 0.282).

The calculation puts the total magnetization at 0.3 μB/f.u. The calculation puts the uncorrected formation energy at -181 kJ per mole of atoms.

Entry 6:
Density functional theory data (GGA-PBE) for NdVN3 after structural relaxation.

It has space group Pm-3m (No. 221), with a = 3.881 Å, b = 3.881 Å, c = 3.881 Å, α = 90.00°, β = 90.00° and γ = 90.00°. The inequivalent atoms are Nd at (0.000, 0.000, 0.000), V at (0.500, 0.500, 0.500) and N at (0.000, 0.500, 0.500).

The calculation puts the total magnetization at 0.2 μB/f.u. The calculation puts the uncorrected formation energy at -75 kJ per mole of atoms.

Entry 7:
Density functional theory data (GGA-PBE) for Ta2Fe2Co after structural relaxation.

It has space group C2/m (No. 12), with a = 9.315 Å, b = 3.069 Å, c = 6.693 Å, α = 90.00°, β = 132.60° and γ = 90.00°. The inequivalent atoms are Ta at (0.197, 0.000, 0.283), Fe at (0.101, 0.500, 0.890) and Co at (0.000, 0.000, 0.500).

The calculation puts the total magnetization at 4.9 μB/f.u. For the excess energy over the best structure of this formula in the dataset, the calculation gives 0 meV/atom. The value obtained for the energy of formation from the pure elements is -0.008 eV per atom.

Entry 8:
Density functional theory data (GGA-PBE) for BaCaBe4 after structural relaxation.

It has space group F-43m (No. 216), with a = 7.680 Å, b = 7.680 Å, c = 7.680 Å, α = 90.00°, β = 90.00° and γ = 90.00°. The inequivalent atoms are Ba at (0.000, 0.000, 0.000), Ca at (0.250, 0.250, 0.250) and Be at (0.104, 0.104, 0.604).

The calculation puts the total magnetization at 0.0 μB/f.u. The value obtained for the energy of formation from the pure elements is 0.535 eV per atom.

Entry 9:
Density functional theory data (GGA-PBE) for CdH after structural relaxation.

It has space group P4/m (No. 83), with a = 10.091 Å, b = 10.091 Å, c = 3.141 Å, α = 90.00°, β = 90.00° and γ = 90.00°. The inequivalent atoms are Cd at (0.117, 0.368, 0.000), Cd at (0.126, 0.665, 0.500), H at (0.201, 0.486, 0.500) and H at (0.242, 0.741, 0.000).

The calculation puts the total magnetization at 0.0 μB/f.u. For the excess energy over the best structure of this formula in the dataset, the calculation gives 154 meV/atom.

Entry 10:
Density functional theory data (GGA-PBE) for Dy3FeCo3 after structural relaxation.

It has space group C2/m (No. 12), with a = 10.359 Å, b = 4.018 Å, c = 13.337 Å, α = 90.00°, β = 110.30° and γ = 90.00°. The inequivalent atoms are Dy at (0.023, 0.000, 0.376), Dy at (0.108, 0.000, 0.924), Dy at (0.243, 0.000, 0.228), Fe at (0.242, 0.500, 0.418), Co at (0.053, 0.500, 0.235), Co at (0.097, 0.500, 0.077) and Co at (0.126, 0.500, 0.543).

The calculation puts the total magnetization at 4.0 μB/f.u. The value obtained for the energy of formation from the pure elements is -0.166 eV per atom.

Entry 11:
Density functional theory data (GGA-PBE) for CuSb2P after structural relaxation.

It has space group P4/mmm (No. 123), with a = 4.831 Å, b = 4.831 Å, c = 3.439 Å, α = 90.00°, β = 90.00° and γ = 90.00°. The inequivalent atoms are Cu at (0.000, 0.000, 0.000), Sb at (0.000, 0.500, 0.500) and P at (0.500, 0.500, 0.000).

The calculation puts the total magnetization at 0.0 μB/f.u. The calculation puts the uncorrected formation energy at 41 kJ per mole of atoms.

Entry 12:
Density functional theory data (GGA-PBE) for TmBeAl after structural relaxation.

It has space group P-6m2 (No. 187), with a = 4.2488 Å, b = 4.2488 Å, c = 3.5009 Å, α = 90.00°, β = 90.00° and γ = 120.00°. The inequivalent atoms are Tm at (0.0000, 0.0000, 0.0000), Be at (0.6667, 0.3333, 0.5000) and Al at (0.3333, 0.6667, 0.5000).

The calculation puts the total magnetization at 0.0 μB/f.u. For the excess energy over the best structure of this formula in the dataset, the calculation gives 0 meV/atom. The value obtained for the energy of formation from the pure elements is -0.263 eV per atom.

Entry 13:
Density functional theory data (GGA-PBE) for PaVTcOs after structural relaxation.

It has space group F-43m (No. 216), with a = 6.500 Å, b = 6.500 Å, c = 6.500 Å, α = 90.00°, β = 90.00° and γ = 90.00°. The inequivalent atoms are Pa at (0.000, 0.000, 0.000), V at (0.000, 0.000, 0.500), Tc at (0.250, 0.250, 0.250) and Os at (0.250, 0.250, 0.750).

The calculation puts the total magnetization at 0.0 μB/f.u. The value obtained for the energy of formation from the pure elements is -0.041 eV per atom.

Entry 14:
Density functional theory data (GGA-PBE) for Ce2PIr6 after structural relaxation.

It has space group C2/m (No. 12), with a = 9.583 Å, b = 5.556 Å, c = 6.059 Å, α = 90.00°, β = 104.15° and γ = 90.00°. The inequivalent atoms are Ce at (0.141, 0.000, 0.340), P at (0.000, 0.500, 0.500), Ir at (0.114, 0.500, 0.184) and Ir at (0.137, 0.244, 0.806).

The calculation puts the total magnetization at 0.0 μB/f.u. The value obtained for the energy of formation from the pure elements is -0.649 eV per atom.

Entry 15:
Density functional theory data (GGA-PBE) for Cs2HfHgS4 after structural relaxation.

It has space group Fddd (No. 70, origin choice 2), with a = 6.201 Å, b = 14.707 Å, c = 25.361 Å, α = 90.00°, β = 90.00° and γ = 90.00°. The inequivalent atoms are Cs at (0.125, 0.125, 0.304), Hf at (0.125, 0.125, 0.125), Hg at (0.125, 0.125, 0.625) and S at (0.099, 0.279, 0.429).

The calculation puts the total magnetization at 0.0 μB/f.u. The calculation puts the uncorrected formation energy at -112 kJ per mole of atoms.

Entry 16:
Density functional theory data (GGA-PBE) for KPr2F6 after structural relaxation.

It has space group I4/mmm (No. 139), with a = 4.214 Å, b = 4.214 Å, c = 17.914 Å, α = 90.00°, β = 90.00° and γ = 90.00°. The inequivalent atoms are K at (0.000, 0.000, 0.000), Pr at (0.000, 0.000, 0.338), F at (0.000, 0.500, 0.103) and F at (0.000, 0.500, 0.250).

The calculation puts the total magnetization at 1.0 μB/f.u. The calculation puts the uncorrected formation energy at -342 kJ per mole of atoms.

Entry 17:
Density functional theory data (GGA-PBE) for NaBiPO4 after structural relaxation.

It has space group Imma (No. 74), with a = 6.303 Å, b = 6.620 Å, c = 9.133 Å, α = 90.00°, β = 90.00° and γ = 90.00°. The inequivalent atoms are Na at (0.000, 0.000, 0.000), Bi at (0.250, 0.250, 0.250), P at (0.000, 0.250, 0.611), O at (0.000, 0.057, 0.711) and O at (0.205, 0.250, 0.514).

The calculation puts the total magnetization at 0.0 μB/f.u. The calculation puts the uncorrected formation energy at -171 kJ per mole of atoms.

Entry 18:
Density functional theory data (GGA-PBE) for Er3Ge2Os after structural relaxation.

It has space group Pnma (No. 62), with a = 11.687 Å, b = 4.186 Å, c = 11.093 Å, α = 90.00°, β = 90.00° and γ = 90.00°. The inequivalent atoms are Er at (0.055, 0.250, 0.126), Er at (0.121, 0.750, 0.555), Er at (0.227, 0.250, 0.794), Ge at (0.008, 0.750, 0.310), Ge at (0.189, 0.750, 0.999) and Os at (0.129, 0.250, 0.371).

The calculation puts the total magnetization at 0.0 μB/f.u. The value obtained for the energy of formation from the pure elements is -0.647 eV per atom.

Entry 19:
Density functional theory data (GGA-PBE) for NpAgBi2 after structural relaxation.

It has space group Cmme (No. 67), with a = 6.283 Å, b = 10.492 Å, c = 6.459 Å, α = 90.00°, β = 90.00° and γ = 90.00°. The inequivalent atoms are Np at (0.000, 0.250, 0.202), Ag at (0.250, 0.000, 0.500), Bi at (0.000, 0.250, 0.686) and Bi at (0.250, 0.000, 0.000).

The calculation puts the total magnetization at 4.0 μB/f.u. The value obtained for the energy of formation from the pure elements is 0.071 eV per atom.

Entry 20:
Density functional theory data (GGA-PBE) for BiPb3Br after structural relaxation.

It has space group P2_1/c (No. 14), with a = 8.392 Å, b = 7.526 Å, c = 11.133 Å, α = 90.00°, β = 103.60° and γ = 90.00°. The inequivalent atoms are Bi at (0.201, 0.234, 0.417), Pb at (0.026, 0.131, 0.637), Pb at (0.175, 0.565, 0.607), Pb at (0.388, 0.690, 0.962) and Br at (0.414, 0.573, 0.244).

The calculation puts the total magnetization at 0.0 μB/f.u. For the excess energy over the best structure of this formula in the dataset, the calculation gives 0 meV/atom. The calculation puts the uncorrected formation energy at -12 kJ per mole of atoms.

Entry 21:
Density functional theory data (GGA-PBE) for Ce4In3Pb after structural relaxation.

It has space group C2/m (No. 12), with a = 23.211 Å, b = 3.348 Å, c = 5.817 Å, α = 90.00°, β = 104.49° and γ = 90.00°. The inequivalent atoms are Ce at (0.126, 0.000, 0.455), Ce at (0.126, 0.500, 0.961), In at (0.000, 0.000, 0.000), In at (0.250, 0.000, 0.251) and Pb at (0.000, 0.500, 0.500).

The calculation puts the total magnetization at 2.3 μB/f.u. For the excess energy over the best structure of this formula in the dataset, the calculation gives 166 meV/atom. The value obtained for the energy of formation from the pure elements is -0.204 eV per atom.

Entry 22:
Density functional theory data (GGA-PBE) for TaGaSeN2 after structural relaxation.

It has space group P4/mmm (No. 123), with a = 4.007 Å, b = 4.007 Å, c = 5.468 Å, α = 90.00°, β = 90.00° and γ = 90.00°. The inequivalent atoms are Ta at (0.000, 0.000, 0.000), Ga at (0.500, 0.500, 0.500), Se at (0.000, 0.000, 0.500) and N at (0.000, 0.500, 0.000).

The calculation puts the total magnetization at 0.0 μB/f.u. For the excess energy over the best structure of this formula in the dataset, the calculation gives 0 meV/atom. The calculation puts the uncorrected formation energy at 8 kJ per mole of atoms.

Entry 23:
Density functional theory data (GGA-PBE) for TiMn5V4 after structural relaxation.

It has space group P4/mmm (No. 123), with a = 2.892 Å, b = 2.892 Å, c = 14.510 Å, α = 90.00°, β = 90.00° and γ = 90.00°. The inequivalent atoms are Ti at (0.000, 0.000, 0.000), Mn at (0.500, 0.500, 0.107), Mn at (0.500, 0.500, 0.303), Mn at (0.500, 0.500, 0.500), V at (0.000, 0.000, 0.202) and V at (0.000, 0.000, 0.401).

The calculation puts the total magnetization at 0.5 μB/f.u. The value obtained for the energy of formation from the pure elements is -0.278 eV per atom.